No. 1
# ScAlFe2 | the Alexandria database | PBE | relaxed
data_ScAlFe2
_cell_length_a 6.156
_cell_length_b 6.156
_cell_length_c 6.156
_cell_angle_alpha 90.00
_cell_angle_beta 90.00
_cell_angle_gamma 90.00
_symmetry_space_group_name_H-M 'F -4 3 m'
_symmetry_Int_Tables_number 216
_symmetry_space_group_name_Hall 'F -4 2 3'
loop_
_atom_site_label
_atom_site_fract_x
_atom_site_fract_y
_atom_site_fract_z
_atom_site_occupancy
Sc1 0.000 0.000 0.000 1
Al1 0.250 0.250 0.750 1
Fe1 0.000 0.000 0.500 1
Fe2 0.250 0.250 0.250 1
# * DFT formation energy: -0.48 eV per formula unit


No. 2
# ScAl4Fe | the Alexandria database | PBE | relaxed
data_ScAl4Fe
_cell_length_a 7.375
_cell_length_b 7.375
_cell_length_c 7.375
_cell_angle_alpha 90.00
_cell_angle_beta 90.00
_cell_angle_gamma 90.00
_symmetry_space_group_name_H-M 'F -4 3 m'
_symmetry_Int_Tables_number 216
_symmetry_space_group_name_Hall 'F -4 2 3'
loop_
_atom_site_label
_atom_site_fract_x
_atom_site_fract_y
_atom_site_fract_z
_atom_site_occupancy
Sc1 0.000 0.000 0.000 1
Al1 0.125 0.125 0.625 1
Fe1 0.250 0.250 0.250 1
# * DFT formation energy: -0.44 eV per formula unit


No. 3
# ScAl8Fe4 | the Alexandria database | PBE | relaxed
data_ScAl8Fe4
_cell_length_a 8.597
_cell_length_b 8.597
_cell_length_c 4.996
_cell_angle_alpha 90.00
_cell_angle_beta 90.00
_cell_angle_gamma 90.00
_symmetry_space_group_name_H-M 'I 4/m m m'
_symmetry_Int_Tables_number 139
_symmetry_space_group_name_Hall '-I 4 2'
loop_
_atom_site_label
_atom_site_fract_x
_atom_site_fract_y
_atom_site_fract_z
_atom_site_occupancy
Sc1 0.000 0.000 0.000 1
Al1 0.000 0.218 0.500 1
Al2 0.000 0.336 0.000 1
Fe1 0.250 0.250 0.250 1
# * DFT formation energy: -5.51 eV per formula unit


No. 4
# ScAlFe | the Alexandria database | PBE | relaxed
data_ScAlFe
_cell_length_a 6.277
_cell_length_b 6.277
_cell_length_c 6.277
_cell_angle_alpha 90.00
_cell_angle_beta 90.00
_cell_angle_gamma 90.00
_symmetry_space_group_name_H-M 'F -4 3 m'
_symmetry_Int_Tables_number 216
_symmetry_space_group_name_Hall 'F -4 2 3'
loop_
_atom_site_label
_atom_site_fract_x
_atom_site_fract_y
_atom_site_fract_z
_atom_site_occupancy
Sc1 0.000 0.000 0.000 1
Al1 0.250 0.250 0.250 1
Fe1 0.250 0.250 0.750 1
# * DFT formation energy: 2.18 eV per formula unit


Question: Which of these has the lowest DFT formation energy?
Answer: ScAl8Fe4


Question: Among the records above, which one has the lowest DFT formation energy?
Answer: ScAl8Fe4